Record 1
GGA-PBE LiAs2W, optimized geometry; DFT formation energy = -181 meV/atom; symmetry = No. 123; ΔE to the lowest computed polymorph = 9 meV per atom; E = -24.89 eV for the cell shown
1.0
-0.541 -3.061 -0.530
1.585 0.191 -2.721
5.717 -1.567 3.220
As Li W
2 1 1
direct
0.000 0.000 0.973 As
0.000 0.000 0.527 As
0.500 0.500 0.250 Li
0.500 0.500 0.750 W


Record 2
GGA-PBE Er6HgSe5, optimized geometry; raw formation energy = -1.50 eV/atom; symmetry = No. 12; E = -63.09 eV for the cell shown
1.0
6.982 0.170 1.061
1.711 5.954 3.469
0.115 0.077 7.076
Hg Se Er
1 5 6
direct
0.000 0.000 0.000 Hg
0.500 0.169 0.663 Se
0.000 0.334 0.332 Se
0.500 0.500 0.000 Se
0.000 0.666 0.668 Se
0.500 0.831 0.337 Se
0.751 0.083 0.334 Er
0.249 0.583 0.334 Er
0.249 0.251 0.000 Er
0.751 0.749 0.000 Er
0.751 0.417 0.666 Er
0.249 0.917 0.666 Er


Record 3
GGA-PBE SmTe2Au, optimized geometry; raw formation energy = -0.69 eV/atom; symmetry = No. 160; E = -17.05 eV for the cell shown
1.0
-2.443 0.752 -3.504
-4.287 0.511 0.414
-1.315 7.504 -0.158
Sm Te Au
1 2 1
direct
0.503 0.503 0.492 Sm
0.077 0.077 0.770 Te
0.257 0.257 0.230 Te
0.664 0.664 0.007 Au


Record 4
GGA-PBE BaLaCrBi2, optimized geometry; DFT formation energy = 162 meV/atom; symmetry = No. 123; E = -23.42 eV for the cell shown
1.0
5.586 0.000 0.000
0.000 5.395 0.000
0.000 0.000 5.586
Cr Ba Bi La
1 1 2 1
direct
0.000 0.000 0.000 Cr
0.000 0.500 0.000 Ba
0.000 0.000 0.500 Bi
0.500 0.000 0.000 Bi
0.500 0.500 0.500 La


Record 5
GGA-PBE TaNbRh2, optimized geometry; DFT formation energy = 49 meV/atom; symmetry = No. 122; ΔE to the lowest computed polymorph = 505 meV per atom; E = -72.86 eV for the cell shown
1.0
-6.445 -1.756 2.311
-0.025 -5.594 -4.320
-2.093 -5.228 1.001
Nb Rh Ta
2 4 2
direct
0.500 0.500 0.000 Nb
0.250 0.750 0.500 Nb
0.631 0.125 0.250 Rh
0.119 0.625 0.250 Rh
0.375 0.369 0.750 Rh
0.875 0.881 0.750 Rh
0.000 0.000 0.000 Ta
0.750 0.250 0.500 Ta